Entry from Alexandria: a relaxed Be2Pd3Au crystal (GGA-PBE).

abc: 2.811 2.811 9.970
angles: 90.00 90.00 90.00
Element x y z (fractional)
Be: 0.500 0.500 0.851
Be: 0.500 0.500 0.149
Pd: 0.000 0.000 0.000
Pd: 0.000 0.000 0.717
Pd: 0.000 0.000 0.283
Au: 0.500 0.500 0.500

Properties
Total energy: -4.86 eV per atom
Total magnetization: 0.000 μB per atom
Symmetry: P4/mmm, No. 123

=====

Entry from Alexandria: a relaxed SrAlCdO4 crystal (GGA-PBE).

abc: 5.340 5.326 6.680
angles: 90.00 113.56 90.00
Site moments in Bohr magnetons follow the coordinates.
Element x y z (fractional)
Sr: 0.104 0.250 0.209  -0.01
Sr: 0.896 0.750 0.791  -0.01
Al: 0.251 0.750 0.501  -0.01
Al: 0.749 0.250 0.499  -0.01
Cd: 0.600 0.750 0.201  0.00
Cd: 0.400 0.250 0.799  0.00
O: 0.904 0.250 0.809  0.24
O: 0.416 0.750 0.831  0.15
O: 0.096 0.750 0.191  0.24
O: 0.584 0.250 0.169  0.15
O: 0.500 0.500 0.500  0.24
O: 0.000 0.000 0.500  0.24
O: 0.500 0.000 0.500  0.24
O: 0.000 0.500 0.500  0.24

Properties
Total energy: -5.79 eV per atom
Total magnetization: 0.145 μB per atom
Symmetry: Cmcm, No. 63
Uncorrected formation energy: -2.05 eV per atom

=====

Entry from Alexandria: a relaxed InWSe2Br crystal (GGA-PBE).

abc: 5.305 5.305 5.139
angles: 90.00 90.00 90.00
Site moments in Bohr magnetons follow the coordinates.
Element x y z (fractional)
Se: 0.000 0.500 0.000  -0.24
Se: 0.500 0.000 0.000  -0.24
Br: 0.000 0.000 0.500  0.04
W: 0.500 0.500 0.500  3.27
In: 0.000 0.000 0.000  0.01

Properties
Total energy: -3.69 eV per atom
Total magnetization: 0.753 μB per atom
Symmetry: P4/mmm, No. 123
Uncorrected formation energy: 1.18 eV per atom

=====

Entry from Alexandria: a relaxed SrPd3S4 crystal (GGA-PBE).

abc: 6.783 6.783 6.783
angles: 90.00 90.00 90.00
Element x y z (fractional)
Sr: 0.000 0.000 0.000
Sr: 0.500 0.500 0.500
S: 0.250 0.250 0.250
S: 0.250 0.750 0.250
S: 0.250 0.250 0.750
S: 0.250 0.750 0.750
S: 0.750 0.250 0.250
S: 0.750 0.250 0.750
S: 0.750 0.750 0.250
S: 0.750 0.750 0.750
Pd: 0.000 0.500 0.250
Pd: 0.000 0.500 0.750
Pd: 0.250 0.000 0.500
Pd: 0.500 0.250 0.000
Pd: 0.500 0.750 0.000
Pd: 0.750 0.000 0.500

Properties
Total energy: -4.99 eV per atom
Total magnetization: 0.000 μB per atom
Symmetry: Pm-3n, No. 223
Uncorrected formation energy: -0.77 eV per atom

=====

Entry from Alexandria: a relaxed LaGaH6 crystal (GGA-PBE).

abc: 4.304 4.304 4.325
angles: 98.34 98.34 98.71
Element x y z (fractional)
La: 0.500 0.500 0.500
Ga: 0.000 0.000 0.000
H: 0.704 0.061 0.704
H: 0.061 0.704 0.704
H: 0.939 0.296 0.296
H: 0.296 0.939 0.296
H: 0.298 0.298 0.941
H: 0.702 0.702 0.059

Properties
Total energy: -3.73 eV per atom
Total magnetization: 0.000 μB per atom
Symmetry: C2/m, No. 12

=====

Entry from Alexandria: a relaxed La2Pr2Ho3 crystal (GGA-PBE).

abc: 3.529 8.896 8.825
angles: 116.44 101.53 90.00
Element x y z (fractional)
La: 0.919 0.791 0.839
La: 0.081 0.209 0.161
Pr: 0.640 0.906 0.280
Pr: 0.360 0.094 0.720
Ho: 0.000 0.500 0.000
Ho: 0.220 0.643 0.439
Ho: 0.780 0.357 0.561

Properties
Total energy: -4.61 eV per atom
Total magnetization: 0.000 μB per atom
Symmetry: C2/m, No. 12

=====

Entry from Alexandria: a relaxed Zr3Ni2Ir crystal (GGA-PBE).

abc: 3.276 4.541 7.299
angles: 108.13 90.00 90.00
Element x y z (fractional)
Zr: 0.500 0.500 0.000
Zr: 0.500 0.829 0.657
Zr: 0.500 0.171 0.343
Ni: 0.000 0.345 0.690
Ni: 0.000 0.655 0.310
Ir: 0.000 0.000 0.000

Properties
Total energy: -8.20 eV per atom
Total magnetization: 0.000 μB per atom
Symmetry: Cmmm, No. 65

=====

Entry from Alexandria: a relaxed TmLuTiCd crystal (GGA-PBE).

abc: 5.158 5.158 5.158
angles: 60.00 60.00 60.00
Site moments in Bohr magnetons follow the coordinates.
Element x y z (fractional)
Ti: 0.250 0.250 0.250  1.53
Lu: 0.000 0.000 0.000  0.29
Tm: 0.500 0.500 0.500  0.34
Cd: 0.750 0.750 0.750  -0.01

Properties
Total energy: -4.40 eV per atom
Total magnetization: 0.670 μB per atom
Symmetry: F-43m, No. 216

=====

Entry from Alexandria: a relaxed ReAgBr2 crystal (GGA-PBE).

abc: 3.128 3.128 9.358
angles: 90.00 90.00 90.00
Element x y z (fractional)
Re: 0.500 0.500 0.250
Br: 0.000 0.000 0.080
Br: 0.000 0.000 0.420
Ag: 0.500 0.500 0.750

Properties
Total energy: -3.68 eV per atom
Total magnetization: 0.000 μB per atom
Symmetry: P4/mmm, No. 123
Uncorrected formation energy: 0.98 eV per atom

=====

Entry from Alexandria: a relaxed La2ScNbCo crystal (GGA-PBE).

abc: 5.730 4.272 5.730
angles: 90.00 90.00 90.00
Site moments in Bohr magnetons follow the coordinates.
Element x y z (fractional)
Sc: 0.000 0.000 0.000  0.00
Nb: 0.500 0.500 0.500  2.08
Co: 0.000 0.500 0.000  -0.71
La: 0.000 0.000 0.500  0.06
La: 0.500 0.000 0.000  0.08

Properties
Total energy: -5.62 eV per atom
Total magnetization: 0.443 μB per atom
Symmetry: P4/mmm, No. 123

=====

Entry from Alexandria: a relaxed NdTlGa crystal (GGA-PBE).

abc: 4.171 4.660 4.660
angles: 120.00 90.00 90.00
Element x y z (fractional)
Tl: 0.252 0.333 0.667
Nd: 0.685 0.667 0.333
Ga: 0.063 0.000 0.000

Properties
Total energy: -3.80 eV per atom
Total magnetization: 0.000 μB per atom
Symmetry: P3m1, No. 156

=====

Entry from Alexandria: a relaxed CeP2Pb crystal (GGA-PBE).

abc: 4.170 4.170 7.273
angles: 73.34 73.34 60.00
Site moments in Bohr magnetons follow the coordinates.
Element x y z (fractional)
Pb: 0.500 0.500 0.500  0.00
P: 0.260 0.260 0.220  -0.01
P: 0.740 0.740 0.780  -0.01
Ce: 0.000 0.000 0.000  0.21

Properties
Total energy: -5.79 eV per atom
Total magnetization: 0.042 μB per atom
Symmetry: R-3m, No. 166

=====

Entry from Alexandria: a relaxed La3Dy crystal (GGA-PBE).

abc: 5.203 5.203 5.203
angles: 90.00 90.00 90.00
Element x y z (fractional)
La: 0.000 0.500 0.500
La: 0.500 0.000 0.500
La: 0.500 0.500 0.000
Dy: 0.000 0.000 0.000

Properties
Total energy: -4.84 eV per atom
Total magnetization: 0.000 μB per atom
Symmetry: Pm-3m, No. 221

=====

Entry from Alexandria: a relaxed PmGa3NiAg crystal (GGA-PBE).

abc: 6.177 5.930 6.871
angles: 115.56 90.00 90.00
Element x y z (fractional)
Pm: 0.750 0.281 0.562
Pm: 0.250 0.719 0.438
Ga: 0.250 0.136 0.272
Ga: 0.000 0.281 0.000
Ga: 0.500 0.719 0.000
Ga: 0.500 0.281 0.000
Ga: 0.000 0.719 0.000
Ga: 0.750 0.864 0.728
Ni: 0.250 0.934 0.868
Ni: 0.750 0.066 0.132
Ag: 0.250 0.347 0.694
Ag: 0.750 0.653 0.306

Properties
Total energy: -4.02 eV per atom
Total magnetization: 0.000 μB per atom
Symmetry: Cmcm, No. 63

=====

Entry from Alexandria: a relaxed Li2AlRh2 crystal (GGA-PBE).

abc: 6.366 6.366 3.047
angles: 90.00 90.00 90.00
Element x y z (fractional)
Rh: 0.194 0.694 0.500
Rh: 0.694 0.806 0.500
Rh: 0.806 0.306 0.500
Rh: 0.306 0.194 0.500
Al: 0.000 0.000 0.000
Al: 0.500 0.500 0.000
Li: 0.389 0.889 0.000
Li: 0.889 0.611 0.000
Li: 0.611 0.111 0.000
Li: 0.111 0.389 0.000

Properties
Total energy: -4.77 eV per atom
Total magnetization: 0.000 μB per atom
Symmetry: P4/mbm, No. 127

=====

Entry from Alexandria: a relaxed Zr4NbZn3 crystal (GGA-PBE).

abc: 3.404 3.404 13.278
angles: 90.00 90.00 90.00
Element x y z (fractional)
Nb: 0.500 0.500 0.000
Zn: 0.500 0.500 0.252
Zn: 0.500 0.500 0.500
Zn: 0.500 0.500 0.748
Zr: 0.000 0.000 0.872
Zr: 0.000 0.000 0.128
Zr: 0.000 0.000 0.376
Zr: 0.000 0.000 0.624

Properties
Total energy: -6.20 eV per atom
Total magnetization: 0.000 μB per atom
Symmetry: P4/mmm, No. 123

=====

Entry from Alexandria: a relaxed VTe2SeBr crystal (GGA-PBE).

abc: 5.783 4.534 5.783
angles: 90.00 90.00 90.00
Site moments in Bohr magnetons follow the coordinates.
Element x y z (fractional)
Te: 0.000 0.000 0.500  0.01
Te: 0.500 0.000 0.000  0.02
Se: 0.500 0.500 0.500  0.02
Br: 0.000 0.000 0.000  0.03
V: 0.000 0.500 0.000  -0.50

Properties
Total energy: -2.91 eV per atom
Total magnetization: 0.088 μB per atom
Symmetry: P4/mmm, No. 123
Uncorrected formation energy: 1.20 eV per atom

=====

Entry from Alexandria: a relaxed BHPt5 crystal (GGA-PBE).

abc: 5.192 5.648 7.994
angles: 88.58 115.09 109.90
Element x y z (fractional)
B: 0.500 0.000 0.000
B: 0.500 0.000 0.500
H: 0.603 0.677 0.265
H: 0.397 0.323 0.735
Pt: 0.727 0.723 0.091
Pt: 0.149 0.649 0.413
Pt: 0.358 0.039 0.216
Pt: 0.765 0.785 0.501
Pt: 0.235 0.215 0.499
Pt: 0.927 0.294 0.112
Pt: 0.073 0.706 0.888
Pt: 0.642 0.961 0.784
Pt: 0.851 0.351 0.587
Pt: 0.273 0.277 0.909

Properties
Total energy: -5.73 eV per atom
Total magnetization: 0.000 μB per atom
Symmetry: P-1, No. 2

=====

Entry from Alexandria: a relaxed La3Dy8Er3 crystal (GGA-PBE).

abc: 5.687 9.726 9.726
angles: 102.22 73.01 73.00
Element x y z (fractional)
La: 0.500 0.000 0.000
La: 0.000 0.816 0.184
La: 0.000 0.184 0.816
Dy: 0.662 0.119 0.557
Dy: 0.338 0.881 0.443
Dy: 0.662 0.557 0.119
Dy: 0.338 0.443 0.881
Dy: 0.841 0.760 0.557
Dy: 0.159 0.240 0.443
Dy: 0.841 0.557 0.760
Dy: 0.159 0.443 0.240
Er: 0.500 0.500 0.500
Er: 0.796 0.204 0.204
Er: 0.204 0.796 0.796

Properties
Total energy: -4.56 eV per atom
Total magnetization: 0.000 μB per atom
Symmetry: Immm, No. 71

=====

Entry from Alexandria: a relaxed CsS crystal (GGA-PBE).

abc: 9.648 9.648 9.648
angles: 90.00 90.00 90.00
Site moments in Bohr magnetons follow the coordinates.
Element x y z (fractional)
Cs: 0.250 0.500 0.000  0.04
Cs: 0.750 0.500 0.000  0.04
Cs: 0.500 0.000 0.250  0.04
Cs: 0.500 0.000 0.750  0.04
Cs: 0.000 0.250 0.500  0.04
Cs: 0.000 0.750 0.500  0.04
S: 0.250 0.000 0.500  0.53
S: 0.750 0.000 0.500  0.53
S: 0.000 0.500 0.250  0.53
S: 0.000 0.500 0.750  0.53
S: 0.500 0.250 0.000  0.53
S: 0.500 0.750 0.000  0.53

Properties
Total energy: -2.74 eV per atom
Total magnetization: 0.500 μB per atom
Symmetry: Pm-3n, No. 223
Uncorrected formation energy: -0.25 eV per atom